# PBE with a Hubbard U RbMnCl2F, optimized geometry
data_RbMnCl2F
_chemical_formula_sum 'Rb1 Mn1 Cl2 F1'
_symmetry_space_group_name_H-M 'P 4/m m m'
_symmetry_Int_Tables_number 123
_symmetry_space_group_name_Hall '-P 4 2'
_cell_length_a 5.264
_cell_length_b 5.264
_cell_length_c 4.192
_cell_angle_alpha 90.00
_cell_angle_beta 90.00
_cell_angle_gamma 90.00
loop_
_atom_site_label
_atom_site_type_symbol
_atom_site_fract_x
_atom_site_fract_y
_atom_site_fract_z
Rb1 Rb 0.000 0.000 0.000
Mn1 Mn 0.500 0.500 0.500
Cl1 Cl 0.000 0.500 0.500
F1 F 0.500 0.500 0.000
# E (hartree per atom): -0.1758
# Calculated density (Mg/m³): 3.29